1.
## NaTmPb4 (PBE)

Data for an optimized crystal structure of NaTmPb4.

Structure (POSCAR):
```
NaTmPb4
1.0
7.908 0.000 0.000
0.000 4.879 0.000
-0.769 0.000 9.957
Na Tm Pb
2 2 8
Direct
0.000 0.000 0.000 Na
0.500 0.500 0.000 Na
0.000 0.000 0.500 Tm
0.500 0.500 0.500 Tm
0.158 0.500 0.189 Pb
0.171 0.500 0.660 Pb
0.329 0.000 0.340 Pb
0.342 0.000 0.811 Pb
0.658 0.000 0.189 Pb
0.671 0.000 0.660 Pb
0.829 0.500 0.340 Pb
0.842 0.500 0.811 Pb
```

Computed properties:
- energy of formation (meV per atom) = -78
- relative energy among the computed polymorphs (meV/atom) = 64
- raw total energy (eV per atom) = -3.515


2.
## NaTbMnCl6 (PBE)

Data for an optimized crystal structure of NaTbMnCl6.

Structure (POSCAR):
```
NaTbMnCl6
1.0
6.514 0.000 0.000
-3.257 5.641 0.000
0.000 0.000 12.559
Na Tb Mn Cl
2 2 2 12
Direct
0.000 0.000 0.000 Na
0.000 0.000 0.500 Na
0.333 0.667 0.250 Tb
0.667 0.333 0.750 Tb
0.333 0.667 0.750 Mn
0.667 0.333 0.250 Mn
0.029 0.369 0.637 Cl
0.029 0.660 0.863 Cl
0.340 0.369 0.863 Cl
0.340 0.971 0.637 Cl
0.369 0.029 0.137 Cl
0.369 0.340 0.363 Cl
0.631 0.660 0.637 Cl
0.631 0.971 0.863 Cl
0.660 0.029 0.363 Cl
0.660 0.631 0.137 Cl
0.971 0.340 0.137 Cl
0.971 0.631 0.363 Cl
```

Computed properties:
- formation energy (no corrections) (eV per atom) = -1.54
- raw total energy (eV per atom) = -4.449


3.
## V7Ni2C2 (PBE)

Data for an optimized crystal structure of V7Ni2C2.

Structure (POSCAR):
```
V7Ni2C2
1.0
-1.449 6.625 3.296
1.449 -6.625 3.296
1.449 6.625 -3.296
V Ni C
7 2 2
Direct
0.000 0.000 0.000 V
0.071 0.392 0.679 V
0.102 0.767 0.335 V
0.431 0.767 0.665 V
0.448 0.589 0.859 V
0.713 0.392 0.321 V
0.729 0.589 0.141 V
0.360 0.360 0.000 Ni
0.691 0.191 0.500 Ni
0.334 0.085 0.249 C
0.836 0.085 0.751 C
```

Computed properties:
- energy of formation (meV per atom) = -163
- raw total energy (eV per atom) = -8.694


4.
## Zn5NiN4 (PBE)

Data for an optimized crystal structure of Zn5NiN4.

Structure (POSCAR):
```
Zn5NiN4
1.0
5.926 0.000 0.000
0.000 8.487 0.000
0.000 0.000 5.352
Zn Ni N
10 2 8
Direct
0.010 0.074 0.211 Zn
0.010 0.426 0.211 Zn
0.250 0.250 0.723 Zn
0.490 0.074 0.211 Zn
0.490 0.426 0.211 Zn
0.510 0.574 0.789 Zn
0.510 0.926 0.789 Zn
0.750 0.750 0.277 Zn
0.990 0.574 0.789 Zn
0.990 0.926 0.789 Zn
0.250 0.750 0.376 Ni
0.750 0.250 0.624 Ni
0.000 0.250 0.447 N
0.000 0.750 0.553 N
0.250 0.049 0.934 N
0.250 0.451 0.934 N
0.500 0.250 0.447 N
0.500 0.750 0.553 N
0.750 0.549 0.066 N
0.750 0.951 0.066 N
```

Computed properties:
- formation energy (no corrections) (eV per atom) = 0.29
- raw total energy (eV per atom) = -4.254


How do the records compare in ρ? In the order shown, they have 8.8; 3.2; 6.5; 5.5 g cm⁻³.